A relaxed ZnCu2I8 crystal, computed with PBE.

Computed properties:
Volume in Å³ per cell: 1001.4
Fermi-level density of states in states/eV/cell: 6.04
Electronic total energy in eV per cell: -45.7
Spin magnetization in μB/f.u.: 0.0

Unit cell a=18.2462 b=8.9956 c=6.5048 alpha=90.00 beta=110.30 gamma=90.00
Space group C2/m (No. 12)
One atom of each set of equivalent atoms:
Zn1 0.0000 0.0000 0.0000 x2
Cu1 0.1943 0.0000 0.9944 x4
I1 0.0933 0.2176 0.9240 x8
I2 0.1958 0.0000 0.6026 x4
I3 0.1960 0.5000 0.6318 x4

***

A relaxed ZnCu2I crystal, computed with PBE.

Computed properties:
Volume in Å³ per cell: 350.2
Fermi-level density of states in states/eV/cell: 6.10
Electronic total energy in eV per cell: -37.2
Excess energy over the best structure of this formula in the dataset in eV per formula unit: 0.000
Spin magnetization in μB/f.u.: 0.0

Unit cell a=6.7655 b=6.7655 c=7.6500 alpha=90.00 beta=90.00 gamma=90.00
Space group I-42d (No. 122)
One atom of each set of equivalent atoms:
Zn1 0.0000 0.0000 0.0000 x4
Cu1 0.2268 0.7500 0.1250 x8
I1 0.0000 0.0000 0.5000 x4

***

A relaxed ZrCuI2 crystal, computed with PBE.

Computed properties:
Volume in Å³ per cell: 380.9
Fermi-level density of states in states/eV/cell: 7.40
Electronic total energy in eV per cell: -60.1
Excess energy over the best structure of this formula in the dataset in eV per formula unit: 0.000
Spin magnetization in μB/f.u.: 1.0

Unit cell a=7.2487 b=7.2487 c=7.2487 alpha=90.00 beta=90.00 gamma=90.00
Space group Fm-3m (No. 225)
One atom of each set of equivalent atoms:
Zr1 0.0000 0.0000 0.0000 x4
Cu1 0.0000 0.0000 0.5000 x4
I1 0.2500 0.2500 0.2500 x8